The following is a PBE-GGA calculation of crystalline AcMgZnGa2 at its relaxed geometry, from the Alexandria database.

abc: 6.4797 6.4797 6.4797
angles: 139.64 139.64 58.40
With the nearest neighbours (Å) after each atom.
Atoms (fractional coordinates):
Ac (0.0000, 0.0000, 0.0000)  8 Ga 3.41, 4 Mg 3.60, 4 Zn 3.60
Mg (0.7500, 0.2500, 0.5000)  4 Ga 2.71
Zn (0.2500, 0.7500, 0.5000)  4 Ga 2.71
Ga (0.3861, 0.3861, 0.0000)  1 Ga 2.58, 2 Mg 2.71, 2 Zn 2.71
Ga (0.6139, 0.6139, 0.0000)  1 Ga 2.58, 2 Mg 2.71, 2 Zn 2.71

=====

The following is a PBE-GGA calculation of crystalline AcMgZnGa at its relaxed geometry, from the Alexandria database.

abc: 5.1989 5.1989 5.1989
angles: 60.00 60.00 60.00
With the nearest neighbours (Å) after each atom.
Atoms (fractional coordinates):
Ac (0.0000, 0.0000, 0.0000)  4 Zn 3.18, 4 Ga 3.18
Mg (0.5000, 0.5000, 0.5000)  4 Zn 3.18, 4 Ga 3.18
Zn (0.7500, 0.7500, 0.7500)  4 Mg 3.18, 4 Ac 3.18
Ga (0.2500, 0.2500, 0.2500)  4 Mg 3.18, 4 Ac 3.18

=====

The following is a PBE-GGA calculation of crystalline Ac2MgZn4Ga3 at its relaxed geometry, from the Alexandria database.

abc: 4.4569 4.4569 10.9741
angles: 90.00 90.00 90.00
With the nearest neighbours (Å) after each atom.
Atoms (fractional coordinates):
Ac (0.0000, 0.5000, 0.2374)  6 Ga 3.37-3.64, 8 Zn 3.43, 2 Mg 3.64
Ac (0.5000, 0.0000, 0.7626)  6 Ga 3.37-3.64, 8 Zn 3.43, 2 Mg 3.64
Mg (0.0000, 0.0000, 0.5000)  4 Zn 2.71
Zn (0.0000, 0.0000, 0.0000)  4 Ga 2.63
Zn (0.0000, 0.5000, 0.6397)  3 Ga 2.55-2.71, 2 Mg 2.71
Zn (0.5000, 0.0000, 0.3603)  3 Ga 2.55-2.71, 2 Mg 2.71
Zn (0.5000, 0.5000, 0.0000)  4 Ga 2.63
Ga (0.0000, 0.5000, 0.8725)  5 Zn 2.55-2.63
Ga (0.5000, 0.0000, 0.1275)  5 Zn 2.55-2.63
Ga (0.5000, 0.5000, 0.5000)  4 Zn 2.71

=====

The following is a PBE-GGA calculation of crystalline AcMg2ZnGa4 at its relaxed geometry, from the Alexandria database.

abc: 9.4165 9.4165 9.4165
angles: 29.14 29.14 29.14
With the nearest neighbours (Å) after each atom.
Atoms (fractional coordinates):
Ac (0.0000, 0.0000, 0.0000)  8 Ga 3.32-3.50
Mg (0.2378, 0.2378, 0.2378)  7 Ga 2.82-2.93
Mg (0.7622, 0.7622, 0.7622)  7 Ga 2.82-2.93
Zn (0.5000, 0.5000, 0.5000)  8 Ga 2.62-2.91
Ga (0.1295, 0.1295, 0.1295)  4 Mg 2.88-2.93, 3 Zn 2.91, 3 Ga 3.18
Ga (0.4030, 0.4030, 0.4030)  1 Zn 2.62, 3 Mg 2.82
Ga (0.5970, 0.5970, 0.5970)  1 Zn 2.62, 3 Mg 2.82
Ga (0.8705, 0.8705, 0.8705)  4 Mg 2.88-2.93, 3 Zn 2.91, 3 Ga 3.18

=====

The following is a PBE-GGA calculation of crystalline AcMgZn2Ga2 at its relaxed geometry, from the Alexandria database.

abc: 4.4203 4.4203 7.5784
angles: 90.00 90.00 120.00
With the nearest neighbours (Å) after each atom.
Atoms (fractional coordinates):
Ac (0.0000, 0.0000, 0.0000)  6 Ga 3.33, 6 Zn 3.47
Mg (0.0000, 0.0000, 0.5000)  6 Zn 2.93, 6 Ga 3.04
Zn (0.3333, 0.6667, 0.6903)  3 Ga 2.56
Zn (0.6667, 0.3333, 0.3097)  3 Ga 2.56
Ga (0.3333, 0.6667, 0.2821)  3 Zn 2.56
Ga (0.6667, 0.3333, 0.7179)  3 Zn 2.56

=====

The following is a PBE-GGA calculation of crystalline Ac2MgZn3Ga4 at its relaxed geometry, from the Alexandria database.

abc: 4.4714 4.4714 10.9497
angles: 90.00 90.00 90.00
With the nearest neighbours (Å) after each atom.
Atoms (fractional coordinates):
Ac (0.0000, 0.5000, 0.2412)  6 Zn 3.40-3.61, 8 Ga 3.42-3.46, 2 Mg 3.61
Ac (0.5000, 0.0000, 0.7588)  6 Zn 3.40-3.61, 8 Ga 3.42-3.46, 2 Mg 3.61
Mg (0.0000, 0.0000, 0.5000)  4 Ga 2.72
Zn (0.0000, 0.5000, 0.8730)  5 Ga 2.54-2.63
Zn (0.5000, 0.0000, 0.1270)  5 Ga 2.54-2.63
Zn (0.5000, 0.5000, 0.5000)  4 Ga 2.72
Ga (0.0000, 0.0000, 0.0000)  4 Zn 2.63
Ga (0.0000, 0.5000, 0.6409)  3 Zn 2.54-2.72, 2 Mg 2.72
Ga (0.5000, 0.0000, 0.3591)  3 Zn 2.54-2.72, 2 Mg 2.72
Ga (0.5000, 0.5000, 0.0000)  4 Zn 2.63

=====

The following is a PBE-GGA calculation of crystalline AcMnGa2 at its relaxed geometry, from the Alexandria database.

abc: 3.4719 3.4719 7.1538
angles: 90.00 90.00 90.00
With the nearest neighbours (Å) after each atom.
Atoms (fractional coordinates):
Ac (0.0000, 0.0000, 0.0000)  8 Ga 3.34, 4 Ac 3.47, 2 Mn 3.58
Mn (0.0000, 0.0000, 0.5000)  8 Ga 2.78
Ga (0.5000, 0.5000, 0.3172)  1 Ga 2.61, 4 Mn 2.78
Ga (0.5000, 0.5000, 0.6828)  1 Ga 2.61, 4 Mn 2.78

Excess energy over the best structure of this formula in the dataset ... 0.171 eV per atom

=====

The following is a PBE-GGA calculation of crystalline AcMnGa2 at its relaxed geometry, from the Alexandria database.

abc: 6.2428 6.2428 6.2428
angles: 40.72 40.72 40.72
With the nearest neighbours (Å) after each atom.
Atoms (fractional coordinates):
Ac (0.0000, 0.0000, 0.0000)  8 Ga 3.30-3.58
Mn (0.5000, 0.5000, 0.5000)  6 Ga 2.61
Ga (0.2084, 0.2084, 0.2084)  3 Mn 2.61, 3 Ga 2.89
Ga (0.7916, 0.7916, 0.7916)  3 Mn 2.61, 3 Ga 2.89

Excess energy over the best structure of this formula in the dataset ... 0.000 eV per atom

=====

The following is a PBE-GGA calculation of crystalline Ac2MnGa at its relaxed geometry, from the Alexandria database.

abc: 11.4142 11.4142 11.4142
angles: 18.96 18.96 18.96
With the nearest neighbours (Å) after each atom.
Atoms (fractional coordinates):
Ac (0.0949, 0.0949, 0.0949)  1 Mn 3.19, 3 Ga 3.25
Ac (0.9051, 0.9051, 0.9051)  1 Mn 3.19, 3 Ga 3.25
Mn (0.0000, 0.0000, 0.0000)  2 Ac 3.19
Ga (0.5000, 0.5000, 0.5000)  6 Ac 3.25

=====

The following is a PBE-GGA calculation of crystalline AcMn4Ga8 at its relaxed geometry, from the Alexandria database.

abc: 6.9151 6.9151 6.9151
angles: 98.24 98.24 135.51
With the nearest neighbours (Å) after each atom.
Atoms (fractional coordinates):
Ac (0.0000, 0.0000, 0.0000)  12 Ga 3.11-3.38, 8 Mn 3.46
Mn (0.0000, 0.0000, 0.5000)  8 Ga 2.62-2.75, 2 Mn 2.62
Mn (0.0000, 0.5000, 0.0000)  8 Ga 2.62-2.75, 2 Mn 2.62
Mn (0.5000, 0.0000, 0.0000)  8 Ga 2.62-2.75, 2 Mn 2.62
Mn (0.5000, 0.5000, 0.5000)  8 Ga 2.62-2.75, 2 Mn 2.62
Ga (0.0000, 0.3433, 0.3433)  4 Mn 2.75, 5 Ga 2.77-2.84
Ga (0.0000, 0.6567, 0.6567)  4 Mn 2.75, 5 Ga 2.77-2.84
Ga (0.2631, 0.5000, 0.7631)  4 Mn 2.62, 4 Ga 2.77-2.79
Ga (0.3433, 0.0000, 0.3433)  4 Mn 2.75, 5 Ga 2.77-2.84
Ga (0.5000, 0.2631, 0.7631)  4 Mn 2.62, 4 Ga 2.77-2.79
Ga (0.5000, 0.7369, 0.2369)  4 Mn 2.62, 4 Ga 2.77-2.79
Ga (0.6567, 0.0000, 0.6567)  4 Mn 2.75, 5 Ga 2.77-2.84
Ga (0.7369, 0.5000, 0.2369)  4 Mn 2.62, 4 Ga 2.77-2.79

=====

The following is a PBE-GGA calculation of crystalline AcMn3Ga9 at its relaxed geometry, from the Alexandria database.

abc: 7.1760 7.1760 6.7968
angles: 97.20 97.20 137.25
With the nearest neighbours (Å) after each atom.
Atoms (fractional coordinates):
Ac (0.0000, 0.0000, 0.0000)  14 Ga 3.23-3.40, 6 Mn 3.50-3.59
Mn (0.0000, 0.5000, 0.0000)  8 Ga 2.61-2.73, 2 Mn 2.62
Mn (0.5000, 0.0000, 0.0000)  8 Ga 2.61-2.73, 2 Mn 2.62
Mn (0.5000, 0.5000, 0.5000)  6 Ga 2.62-2.64
Ga (0.0000, 0.0000, 0.5000)  2 Mn 2.62, 8 Ga 2.78-2.90
Ga (0.0138, 0.6539, 0.6621)  3 Mn 2.65-2.95, 6 Ga 2.75-2.90
Ga (0.2797, 0.5196, 0.7726)  3 Mn 2.61-2.64, 6 Ga 2.75-2.90
Ga (0.3461, 0.9862, 0.3379)  3 Mn 2.65-2.95, 6 Ga 2.75-2.90
Ga (0.4804, 0.7203, 0.2274)  3 Mn 2.61-2.64, 6 Ga 2.75-2.90
Ga (0.5196, 0.2797, 0.7726)  3 Mn 2.61-2.64, 6 Ga 2.75-2.90
Ga (0.6539, 0.0138, 0.6621)  3 Mn 2.65-2.95, 6 Ga 2.75-2.90
Ga (0.7203, 0.4804, 0.2274)  3 Mn 2.61-2.64, 6 Ga 2.75-2.90
Ga (0.9862, 0.3461, 0.3379)  3 Mn 2.65-2.95, 6 Ga 2.75-2.90

=====

The following is a PBE-GGA calculation of crystalline AcMnGa at its relaxed geometry, from the Alexandria database.

abc: 4.7559 3.9594 8.1431
angles: 90.00 98.93 90.00
With the nearest neighbours (Å) after each atom.
Atoms (fractional coordinates):
Ac (0.2285, 0.2500, 0.3078)  3 Mn 2.86-3.08
Ac (0.7715, 0.7500, 0.6922)  3 Mn 2.86-3.08
Mn (0.1101, 0.7500, 0.0147)  2 Mn 2.24, 1 Ga 2.49
Mn (0.8899, 0.2500, 0.9853)  2 Mn 2.24, 1 Ga 2.49
Ga (0.3559, 0.2500, 0.8812)  4 Mn 2.49-2.62
Ga (0.6441, 0.7500, 0.1188)  4 Mn 2.49-2.62

=====

no.,calculated formation energy (meV/atom),total DFT energy (no corrections) (eV for the cell shown)
1,-449,-15.274
2,-314,-11.262
3,-421,-28.199
4,-249,-22.672
5,-384,-16.608
6,-457,-30.308
7,-124,-19.829
8,-295,-20.512
9,514,-18.358
10,-205,-67.671
11,-188,-61.309
12,-101,-33.214